No. 1
Entry from Alexandria: a relaxed Na3Li2Cd3 crystal (PBE).

Cell: 3.1810 8.3142 8.3142 Å, 120.00 90.00 90.00°
With the nearest neighbours (Å) after each atom.
Element x y z (fractional)
Na  0.0000  0.0000  0.2416  4 Na 3.18-3.48, 2 Li 3.22, 6 Cd 3.30-3.37
Na  0.0000  0.7584  0.7584  4 Na 3.18-3.48, 2 Li 3.22, 6 Cd 3.30-3.37
Na  0.0000  0.2416  0.0000  4 Na 3.18-3.48, 2 Li 3.22, 6 Cd 3.30-3.37
Cd  0.5000  0.0000  0.5900  4 Li 2.97, 2 Cd 3.18, 2 Na 3.30
Cd  0.5000  0.5900  0.0000  4 Li 2.97, 2 Cd 3.18, 2 Na 3.30
Cd  0.5000  0.4100  0.4100  4 Li 2.97, 2 Cd 3.18, 2 Na 3.30
Li  0.0000  0.3333  0.6667  6 Cd 2.97, 2 Li 3.18, 3 Na 3.22
Li  0.0000  0.6667  0.3333  6 Cd 2.97, 2 Li 3.18, 3 Na 3.22

Values from the calculation:
Its energy relative to the elements is -0.113 eV per atom.

---

No. 2
Entry from Alexandria: a relaxed Pm12Nd5Pb2 crystal (PBE).

Cell: 9.6393 12.3317 8.6722 Å, 131.92 90.00 113.01°
With the nearest neighbours (Å) after each atom.
Element x y z (fractional)
Nd  0.3167  0.6333  0.6351  2 Pb 3.42, 6 Pm 3.48-3.79, 1 Nd 3.71
Nd  0.7647  0.5295  0.1173  8 Pm 3.39-3.72, 2 Nd 3.71-3.72
Nd  0.2353  0.4705  0.8827  8 Pm 3.39-3.72, 2 Nd 3.71-3.72
Nd  0.6833  0.3667  0.3649  2 Pb 3.42, 6 Pm 3.48-3.79, 1 Nd 3.71
Nd  0.0000  0.0000  0.5000  10 Pm 3.47-3.79, 2 Nd 3.72
Pm  0.5704  0.7537  0.4088  5 Pm 3.34-3.73, 4 Nd 3.50-3.74, 1 Pb 3.65
Pm  0.6688  0.7030  0.9378  1 Pb 3.23, 2 Pm 3.49-3.52
Pm  0.0342  0.7030  0.9378  1 Pb 3.23, 2 Pm 3.49-3.52
Pm  0.8167  0.2463  0.5912  5 Pm 3.34-3.73, 4 Nd 3.50-3.74, 1 Pb 3.65
Pm  0.9658  0.2970  0.0622  1 Pb 3.23, 2 Pm 3.49-3.52
Pm  0.4479  0.8957  0.2089  7 Pm 3.34-3.71, 2 Pb 3.36, 2 Nd 3.39-3.48
Pm  0.9206  0.8412  0.7228  5 Pm 3.31-3.65, 2 Pb 3.38, 2 Nd 3.47-3.62
Pm  0.5521  0.1043  0.7911  7 Pm 3.34-3.71, 2 Pb 3.36, 2 Nd 3.39-3.48
Pm  0.1833  0.7537  0.4088  5 Pm 3.34-3.73, 4 Nd 3.50-3.74, 1 Pb 3.65
Pm  0.0794  0.1588  0.2772  5 Pm 3.31-3.65, 2 Pb 3.38, 2 Nd 3.47-3.62
Pm  0.3312  0.2970  0.0622  1 Pb 3.23, 2 Pm 3.49-3.52
Pm  0.4296  0.2463  0.5912  5 Pm 3.34-3.73, 4 Nd 3.50-3.74, 1 Pb 3.65
Pb  0.6943  0.0000  0.0000  6 Pm 3.23-3.38, 2 Nd 3.42
Pb  0.3057  0.0000  0.0000  6 Pm 3.23-3.38, 2 Nd 3.42

Values from the calculation:
Its energy relative to the elements is -0.049 eV per atom.

---

No. 3
Entry from Alexandria: a relaxed Ti5Tl3O12 crystal (PBE).

Cell: 11.3743 11.3743 11.3743 Å, 109.47 109.47 109.47°
With the nearest neighbours (Å) after each atom.
Element x y z (fractional)
O  0.3166  0.4957  0.3933  2 Ti 1.85-2.01
O  0.4234  0.3209  0.3166  2 Ti 1.85-2.01
O  0.5766  0.6791  0.6834  2 Ti 1.85-2.01
O  0.3975  0.3933  0.0766  2 Ti 1.85-2.01
O  0.9234  0.8166  0.8209  2 Ti 1.85-2.01
O  0.1834  0.1067  0.0043  2 Ti 1.85-2.01
O  0.9957  0.3933  0.8166  2 Ti 1.85-2.01
O  0.6067  0.6025  0.4234  2 Ti 1.85-2.01
O  0.6067  0.0043  0.6834  2 Ti 1.85-2.01
O  0.8166  0.8933  0.9957  2 Ti 1.85-2.01
O  0.0766  0.8933  0.3975  2 Ti 1.85-2.01
O  0.8209  0.3166  0.9234  2 Ti 1.85-2.01
O  0.5766  0.8975  0.3933  2 Ti 1.85-2.01
O  0.5043  0.6834  0.1067  2 Ti 1.85-2.01
O  0.3166  0.8209  0.4234  2 Ti 1.85-2.01
O  0.8209  0.5043  0.3975  2 Ti 1.85-2.01
O  0.8166  0.9234  0.3209  2 Ti 1.85-2.01
O  0.0766  0.1834  0.1791  2 Ti 1.85-2.01
O  0.3209  0.8975  0.0043  2 Ti 1.85-2.01
O  0.8975  0.3209  0.5043  2 Ti 1.85-2.01
O  0.1025  0.4234  0.1067  2 Ti 1.85-2.01
O  0.4957  0.1791  0.1025  2 Ti 1.85-2.01
O  0.0043  0.6067  0.1834  2 Ti 1.85-2.01
O  0.1025  0.6791  0.4957  2 Ti 1.85-2.01
O  0.8933  0.0766  0.8975  2 Ti 1.85-2.01
O  0.9957  0.6025  0.6791  2 Ti 1.85-2.01
O  0.1791  0.4957  0.6025  2 Ti 1.85-2.01
O  0.6834  0.5043  0.6067  2 Ti 1.85-2.01
O  0.1067  0.1834  0.5043  2 Ti 1.85-2.01
O  0.8933  0.8166  0.4957  2 Ti 1.85-2.01
O  0.3933  0.9957  0.3166  2 Ti 1.85-2.01
O  0.4957  0.3166  0.8933  2 Ti 1.85-2.01
O  0.6791  0.1025  0.9957  2 Ti 1.85-2.01
O  0.6791  0.5766  0.1834  2 Ti 1.85-2.01
O  0.5043  0.8209  0.8975  2 Ti 1.85-2.01
O  0.4234  0.1025  0.6067  2 Ti 1.85-2.01
O  0.1791  0.6834  0.0766  2 Ti 1.85-2.01
O  0.3975  0.0043  0.8209  2 Ti 1.85-2.01
O  0.1067  0.9234  0.1025  2 Ti 1.85-2.01
O  0.6025  0.9957  0.1791  2 Ti 1.85-2.01
O  0.6834  0.1791  0.5766  2 Ti 1.85-2.01
O  0.8975  0.5766  0.8933  2 Ti 1.85-2.01
O  0.1834  0.0766  0.6791  2 Ti 1.85-2.01
O  0.0043  0.3975  0.3209  2 Ti 1.85-2.01
O  0.6025  0.6067  0.9234  2 Ti 1.85-2.01
O  0.3209  0.4234  0.8166  2 Ti 1.85-2.01
O  0.9234  0.1067  0.6025  2 Ti 1.85-2.01
O  0.3933  0.3975  0.5766  2 Ti 1.85-2.01
Ti  0.1250  0.7500  0.3750  4 O 1.85
Ti  0.3750  0.2500  0.1250  4 O 1.85
Ti  0.7500  0.6250  0.3750  4 O 1.85
Ti  0.0000  0.5000  0.5000  6 O 2.01
Ti  0.5000  0.5000  0.5000  6 O 2.01
Ti  0.7500  0.1250  0.8750  4 O 1.85
Ti  0.8750  0.2500  0.6250  4 O 1.85
Ti  0.0000  0.5000  0.0000  6 O 2.01
Ti  0.0000  0.0000  0.0000  6 O 2.01
Ti  0.2500  0.3750  0.6250  4 O 1.85
Ti  0.2500  0.8750  0.1250  4 O 1.85
Ti  0.8750  0.6250  0.7500  4 O 1.85
Ti  0.5000  0.0000  0.5000  6 O 2.01
Ti  0.0000  0.0000  0.5000  6 O 2.01
Ti  0.6250  0.7500  0.8750  4 O 1.85
Ti  0.1250  0.3750  0.2500  4 O 1.85
Ti  0.5000  0.5000  0.0000  6 O 2.01
Ti  0.5000  0.0000  0.0000  6 O 2.01
Ti  0.6250  0.8750  0.2500  4 O 1.85
Ti  0.3750  0.1250  0.7500  4 O 1.85
Tl  0.8750  0.7500  0.1250  8 O 2.63-2.87
Tl  0.3750  0.7500  0.6250  8 O 2.63-2.87
Tl  0.7500  0.8750  0.6250  8 O 2.63-2.87
Tl  0.8750  0.1250  0.2500  8 O 2.63-2.87
Tl  0.2500  0.6250  0.8750  8 O 2.63-2.87
Tl  0.7500  0.3750  0.1250  8 O 2.63-2.87
Tl  0.6250  0.2500  0.3750  8 O 2.63-2.87
Tl  0.1250  0.2500  0.8750  8 O 2.63-2.87
Tl  0.1250  0.8750  0.7500  8 O 2.63-2.87
Tl  0.6250  0.3750  0.7500  8 O 2.63-2.87
Tl  0.3750  0.6250  0.2500  8 O 2.63-2.87
Tl  0.2500  0.1250  0.3750  8 O 2.63-2.87

Values from the calculation:
The value obtained for the uncorrected formation energy is -2337 meV/atom.

---

No. 4
Entry from Alexandria: a relaxed Sm3YTl2 crystal (PBE).

Cell: 5.1933 6.8612 10.1733 Å, 90.00 90.00 90.00°
With the nearest neighbours (Å) after each atom.
Element x y z (fractional)
Tl  0.5000  0.2068  0.1367  9 Sm 3.28-3.65, 1 Y 3.45
Tl  0.0000  0.7943  0.3656  5 Sm 3.23-3.48, 4 Y 3.25-3.59
Tl  0.0000  0.2943  0.6344  5 Sm 3.23-3.48, 4 Y 3.25-3.59
Tl  0.5000  0.7068  0.8633  9 Sm 3.28-3.65, 1 Y 3.45
Y  0.5000  0.5453  0.5419  5 Tl 3.25-3.59, 2 Sm 3.52, 2 Y 3.53
Y  0.5000  0.0453  0.4581  5 Tl 3.25-3.59, 2 Sm 3.52, 2 Y 3.53
Sm  0.0000  0.9519  0.0407  5 Tl 3.28-3.58, 4 Sm 3.53
Sm  0.0000  0.4519  0.9593  5 Tl 3.28-3.58, 4 Sm 3.53
Sm  0.5000  0.1797  0.8125  5 Tl 3.26-3.65, 2 Sm 3.53
Sm  0.5000  0.6797  0.1875  5 Tl 3.26-3.65, 2 Sm 3.53
Sm  0.0000  0.8219  0.6822  4 Tl 3.23-3.28, 2 Y 3.52
Sm  0.0000  0.3219  0.3178  4 Tl 3.23-3.28, 2 Y 3.52

Values from the calculation:
The energy above the most stable polymorph in this dataset comes out at 0.0000 eV/atom. Its energy relative to the elements is -0.279 eV per atom.

---

No. 5
Entry from Alexandria: a relaxed SrAs2Br crystal (PBE).

Cell: 3.6798 3.6798 8.5099 Å, 90.00 90.00 90.55°
With the nearest neighbours (Å) after each atom.
Element x y z (fractional)
As  0.0000  0.0000  0.0316  4 As 2.75-2.77
As  0.5000  0.5000  0.1408  4 As 2.75-2.77
Br  0.0000  0.0000  0.5641  4 Sr 3.10-3.12
Sr  0.5000  0.5000  0.7635  4 Br 3.10-3.12, 3 As 3.21-3.45

Values from the calculation:
The energy above the most stable polymorph in this dataset comes out at 0.1069 eV/atom. The value obtained for the uncorrected formation energy is -800 meV/atom.

---

No. 6
Entry from Alexandria: a relaxed Ho12Tm6Sn crystal (PBE).

Cell: 8.3714 8.3714 8.3714 Å, 88.53 88.53 88.53°
With the nearest neighbours (Å) after each atom.
Element x y z (fractional)
Tm  0.2950  0.7431  0.9042  7 Ho 3.24-3.62, 1 Sn 3.33, 2 Tm 3.37
Tm  0.9042  0.2950  0.7431  7 Ho 3.24-3.62, 1 Sn 3.33, 2 Tm 3.37
Tm  0.7431  0.9042  0.2950  7 Ho 3.24-3.62, 1 Sn 3.33, 2 Tm 3.37
Tm  0.2569  0.0958  0.7050  7 Ho 3.24-3.62, 1 Sn 3.33, 2 Tm 3.37
Tm  0.0958  0.7050  0.2569  7 Ho 3.24-3.62, 1 Sn 3.33, 2 Tm 3.37
Tm  0.7050  0.2569  0.0958  7 Ho 3.24-3.62, 1 Sn 3.33, 2 Tm 3.37
Ho  0.8151  0.6364  0.9890  4 Tm 3.36-3.62, 4 Ho 3.43-3.57, 1 Sn 3.45
Ho  0.4593  0.5674  0.2197  3 Tm 3.24-3.44, 6 Ho 3.26-3.60
Ho  0.9890  0.8151  0.6364  4 Tm 3.36-3.62, 4 Ho 3.43-3.57, 1 Sn 3.45
Ho  0.1849  0.3636  0.0110  4 Tm 3.36-3.62, 4 Ho 3.43-3.57, 1 Sn 3.45
Ho  0.4326  0.7803  0.5407  3 Tm 3.24-3.44, 6 Ho 3.26-3.60
Ho  0.5407  0.4326  0.7803  3 Tm 3.24-3.44, 6 Ho 3.26-3.60
Ho  0.6364  0.9890  0.8151  4 Tm 3.36-3.62, 4 Ho 3.43-3.57, 1 Sn 3.45
Ho  0.2197  0.4593  0.5674  3 Tm 3.24-3.44, 6 Ho 3.26-3.60
Ho  0.3636  0.0110  0.1849  4 Tm 3.36-3.62, 4 Ho 3.43-3.57, 1 Sn 3.45
Ho  0.0110  0.1849  0.3636  4 Tm 3.36-3.62, 4 Ho 3.43-3.57, 1 Sn 3.45
Ho  0.7803  0.5407  0.4326  3 Tm 3.24-3.44, 6 Ho 3.26-3.60
Ho  0.5674  0.2197  0.4593  3 Tm 3.24-3.44, 6 Ho 3.26-3.60
Sn  0.0000  0.0000  0.0000  6 Tm 3.33, 6 Ho 3.45

Values from the calculation:
Its energy relative to the elements is 0.041 eV per atom.

---

No. 7
Entry from Alexandria: a relaxed CdBr2Cl crystal (PBE).

Cell: 4.1019 4.0655 6.6678 Å, 90.00 90.00 90.00°
With the nearest neighbours (Å) after each atom.
Element x y z (fractional)
Br  0.0000  0.0000  0.0000  4 Br 2.89
Br  0.5000  0.5000  0.0000  4 Br 2.89
Cd  0.5000  0.0000  0.5000  4 Cl 2.89
Cl  0.0000  0.5000  0.5000  4 Cd 2.89

Values from the calculation:
The energy above the most stable polymorph in this dataset comes out at 0.4174 eV/atom. The value obtained for the uncorrected formation energy is -143 meV/atom.

---

No. 8
Entry from Alexandria: a relaxed NdDy2ThN4 crystal (PBE).

Cell: 3.5739 6.1759 6.1696 Å, 109.35 90.00 90.00°
With the nearest neighbours (Å) after each atom.
Element x y z (fractional)
N  0.5000  0.2463  0.2556  3 Dy 2.47-2.52, 2 Th 2.53, 1 Nd 2.56
N  0.0000  0.7597  0.2575  3 Dy 2.48-2.53, 1 Th 2.51, 2 Nd 2.57
N  0.5000  0.7537  0.7444  3 Dy 2.47-2.52, 2 Th 2.53, 1 Nd 2.56
N  0.0000  0.2403  0.7425  3 Dy 2.48-2.53, 1 Th 2.51, 2 Nd 2.57
Th  0.0000  0.0000  0.0000  6 N 2.51-2.53
Dy  0.0000  0.5000  0.5000  6 N 2.52-2.53
Dy  0.5000  0.0000  0.5000  6 N 2.47-2.48
Nd  0.5000  0.5000  0.0000  6 N 2.56-2.57

Values from the calculation:
The value obtained for the uncorrected formation energy is -1595 meV/atom.

---

Number 1: DOS(E_F) 0.52 states/eV/atom. Number 2: DOS(E_F) 1.25 states/eV/atom. Number 3: DOS(E_F) 0.32 states/eV/atom. Number 4: DOS(E_F) 1.11 states/eV/atom. Number 5: DOS(E_F) 0.27 states/eV/atom. Number 6: DOS(E_F) 1.47 states/eV/atom. Number 7: DOS(E_F) 0.74 states/eV/atom. Number 8: DOS(E_F) 0.22 states/eV/atom.